# 1
A relaxed BeRuSe2N crystal, computed with PBE-GGA.

abc: 4.799 4.799 3.033
angles: 90.00 90.00 90.00
Fractional positions:
1 Se 0.000 0.500 0.000
2 Ru 0.500 0.500 0.500
3 N 0.000 0.000 0.500
4 Se 0.500 0.000 0.000
5 Be 0.000 0.000 0.000

Results
Energy relative to the lowest polymorph listed for this composition   0.0 meV per atom
Uncorrected formation energy   0.643 eV per atom
Total magnetization   0.000 μB per cell


# 2
A relaxed BeRuSeN2 crystal, computed with PBE-GGA.

abc: 3.441 3.441 5.337
angles: 90.00 90.00 90.00
Fractional positions:
1 N 0.500 0.000 0.000
2 Se 0.000 0.000 0.500
3 Be 0.000 0.000 0.000
4 N 0.000 0.500 0.000
5 Ru 0.500 0.500 0.500

Results
Energy relative to the lowest polymorph listed for this composition   463.9 meV per atom
Uncorrected formation energy   1.317 eV per atom
Total magnetization   1.081 μB per cell


# 3
A relaxed BeRuSeN2 crystal, computed with PBE-GGA.

abc: 3.722 3.722 5.484
angles: 90.00 90.00 90.00
Fractional positions:
1 Se 0.000 0.000 0.500
2 Be 0.500 0.500 0.500
3 N 0.500 0.000 0.000
4 N 0.000 0.500 0.000
5 Ru 0.000 0.000 0.000

Results
Energy relative to the lowest polymorph listed for this composition   0.0 meV per atom
Uncorrected formation energy   0.853 eV per atom
Total magnetization   0.300 μB per cell


# 4
A relaxed BeRuSe2N crystal, computed with PBE-GGA.

abc: 5.050 3.615 5.050
angles: 90.00 90.00 90.00
Fractional positions:
1 N 0.000 0.500 0.000
2 Se 0.500 0.000 0.000
3 Se 0.000 0.000 0.500
4 Be 0.500 0.500 0.500
5 Ru 0.000 0.000 0.000

Results
Energy relative to the lowest polymorph listed for this composition   50.6 meV per atom
Uncorrected formation energy   0.693 eV per atom
Total magnetization   0.000 μB per cell


# 5
A relaxed SmBeRuN crystal, computed with PBE-GGA.

abc: 3.642 3.642 8.502
angles: 90.00 90.00 90.00
Fractional positions:
1 N 0.500 0.000 0.872
2 Ru 0.500 0.500 0.500
3 Be 0.500 0.000 0.684
4 Sm 0.500 0.000 0.153
5 N 0.000 0.500 0.128
6 Be 0.000 0.500 0.316
7 Sm 0.000 0.500 0.847
8 Ru 0.000 0.000 0.500

Results
Uncorrected formation energy   -0.815 eV per atom
Total magnetization   0.002 μB per cell


# 6
A relaxed Ta2BeRuN crystal, computed with PBE-GGA.

abc: 4.341 4.341 3.375
angles: 90.00 90.00 90.00
Fractional positions:
1 Be 0.000 0.000 0.500
2 Ta 0.000 0.500 0.000
3 N 0.000 0.000 0.000
4 Ta 0.500 0.000 0.000
5 Ru 0.500 0.500 0.500

Results
Uncorrected formation energy   -0.518 eV per atom
Total magnetization   0.000 μB per cell


# 7
A relaxed BeTeRuN2 crystal, computed with PBE-GGA.

abc: 3.600 3.600 5.446
angles: 90.00 90.00 90.00
Fractional positions:
1 Te 0.000 0.000 0.500
2 N 0.500 0.000 0.000
3 N 0.000 0.500 0.000
4 Be 0.000 0.000 0.000
5 Ru 0.500 0.500 0.500

Results
Energy relative to the lowest polymorph listed for this composition   613.7 meV per atom
Uncorrected formation energy   1.476 eV per atom
Total magnetization   1.022 μB per cell


# 8
A relaxed BeTeRuN2 crystal, computed with PBE-GGA.

abc: 3.767 3.767 5.777
angles: 90.00 90.00 90.00
Fractional positions:
1 Te 0.000 0.000 0.500
2 N 0.500 0.000 0.000
3 Ru 0.000 0.000 0.000
4 Be 0.500 0.500 0.500
5 N 0.000 0.500 0.000

Results
Energy relative to the lowest polymorph listed for this composition   0.0 meV per atom
Uncorrected formation energy   0.862 eV per atom
Total magnetization   0.285 μB per cell